No. 1
ZrPaTi2: relaxed, GGA-PBE.

a b c (Å): 10.2816 10.2816 10.2816
angles (deg): 17.30 17.30 17.30
Element x y z (fractional)
Zr1 0.0000 0.0000 0.0000
Pa1 0.5000 0.5000 0.5000
Ti1 0.2514 0.2514 0.2514
Ti2 0.7486 0.7486 0.7486

ΔE_f: 0.181 eV per atom
Fermi-level density of states: 2.387 states/eV/atom
spin magnetization: 0.000 μB/atom
V: 83.9 Å³/cell
E: -33.11 eV for the cell shown

=====

No. 2
BaZr2Ru: relaxed, GGA-PBE.

a b c (Å): 3.4461 5.0537 5.3246
angles (deg): 90.00 90.00 90.00
Element x y z (fractional)
Ba1 0.0000 0.0000 0.0000
Zr1 0.0000 0.5000 0.5000
Zr2 0.5000 0.5000 0.0000
Ru1 0.5000 0.0000 0.5000

ΔE_f: 0.628 eV per atom
Fermi-level density of states: 1.428 states/eV/atom
spin magnetization: 0.000 μB/atom
V: 92.7 Å³/cell
E: -25.78 eV for the cell shown

=====

No. 3
Cs2ZnHg2: relaxed, GGA-PBE.

a b c (Å): 6.8275 6.8275 6.8275
angles (deg): 114.62 114.62 99.61
Element x y z (fractional)
Cs1 0.2500 0.7500 0.5000
Cs2 0.7500 0.2500 0.5000
Zn1 0.0000 0.0000 0.0000
Hg1 0.3281 0.3281 0.0000
Hg2 0.6719 0.6719 0.0000

ΔE_f: -0.047 eV per atom
Fermi-level density of states: 0.446 states/eV/atom
spin magnetization: 0.000 μB/atom
V: 239.7 Å³/cell
E: -3.82 eV for the cell shown

=====

No. 4
Ca6Ac2Y: relaxed, GGA-PBE.

a b c (Å): 10.7224 10.7224 4.0239
angles (deg): 94.64 94.64 124.84
Element x y z (fractional)
Ca1 0.0032 0.6697 0.6662
Ca2 0.1792 0.1792 0.8416
Ca3 0.3303 0.9968 0.3338
Ca4 0.6697 0.0032 0.6662
Ca5 0.8208 0.8208 0.1584
Ca6 0.9968 0.3303 0.3338
Ac1 0.3445 0.6555 0.0000
Ac2 0.6555 0.3445 0.0000
Y1 0.5000 0.5000 0.5000

ΔE_f: 0.075 eV per atom
Fermi-level density of states: 1.398 states/eV/atom
spin magnetization: 0.000 μB/atom
V: 373.9 Å³/cell
E: -26.02 eV for the cell shown

=====

No. 5
LiSiNO2: relaxed, GGA-PBE.

a b c (Å): 3.3944 3.3944 4.1091
angles (deg): 90.00 90.00 90.00
Element x y z (fractional)
Li1 0.0000 0.0000 0.0000
Si1 0.5000 0.5000 0.5000
N1 0.0000 0.0000 0.5000
O1 0.0000 0.5000 0.0000
O2 0.5000 0.0000 0.0000

Fermi-level density of states: 0.381 states/eV/atom
spin magnetization: 0.545 μB/atom
V: 47.3 Å³/cell
E: -22.05 eV for the cell shown

=====

No. 6
TmZr2In3: relaxed, GGA-PBE.

a b c (Å): 3.8404 3.8404 9.5425
angles (deg): 90.00 90.00 90.00
Element x y z (fractional)
Tm1 0.0000 0.0000 0.0000
Zr1 0.0000 0.0000 0.3447
Zr2 0.0000 0.0000 0.6553
In1 0.5000 0.5000 0.1791
In2 0.5000 0.5000 0.5000
In3 0.5000 0.5000 0.8209

ΔE_f: -0.282 eV per atom
Fermi-level density of states: 0.370 states/eV/atom
spin magnetization: 0.000 μB/atom
V: 140.7 Å³/cell
E: -31.48 eV for the cell shown